# 1
TbMgAu4, optimized geometry, DFT PBE; ΔH_f (0 K) = -0.647 eV/atom; energy above the most stable polymorph in this dataset = 0.00 kcal/mol of atoms; total magnetization = 0.00 μB per formula unit; space-group type = No. 12
1.0
9.627 0.000 0.000
0.000 3.695 0.000
-2.568 0.000 6.723
Tb Mg Au
2 2 8
Cartesian
0.000 0.000 0.000
4.813 1.847 0.000
-1.284 0.000 3.361
3.529 1.847 3.361
0.676 1.847 2.304
-0.519 1.847 5.473
2.764 0.000 1.249
1.569 0.000 4.418
5.490 0.000 2.304
4.294 0.000 5.473
7.577 1.847 1.249
6.382 1.847 4.418

---

# 2
Tb3Mg2Au3, optimized geometry, DFT PBE; ΔH_f (0 K) = -0.613 eV/atom; energy above the most stable polymorph in this dataset = 2.20 kcal/mol of atoms; total magnetization = 0.00 μB per formula unit; space-group type = No. 71
1.0
3.534 0.000 0.000
0.000 5.152 0.000
0.000 0.000 20.656
Tb Mg Au
6 4 6
Cartesian
0.000 0.000 0.000
0.000 2.576 2.534
0.000 2.576 18.122
1.767 0.000 7.794
1.767 0.000 12.862
1.767 2.576 10.328
0.000 0.000 4.831
0.000 0.000 15.825
1.767 2.576 5.497
1.767 2.576 15.159
0.000 0.000 10.328
0.000 2.576 7.712
0.000 2.576 12.944
1.767 0.000 2.616
1.767 0.000 18.040
1.767 2.576 0.000

---

# 3
TbMgTlAu, optimized geometry, DFT PBE; ΔH_f (0 K) = -0.505 eV/atom; total magnetization = 0.00 μB per formula unit; space-group type = No. 216
1.0
7.153 0.000 0.000
0.000 7.153 0.000
0.000 0.000 7.153
Tb Mg Tl Au
4 4 4 4
Cartesian
0.000 0.000 0.000
0.000 3.577 3.577
3.577 0.000 3.577
3.577 3.577 0.000
0.000 0.000 3.577
0.000 3.577 0.000
3.577 0.000 0.000
3.577 3.577 3.577
1.788 1.788 1.788
1.788 5.365 5.365
5.365 1.788 5.365
5.365 5.365 1.788
1.788 1.788 5.365
1.788 5.365 1.788
5.365 1.788 1.788
5.365 5.365 5.365